Ca2CuSiAu6 | PBE | relaxed

The total energy is -3.704 eV per atom. The total magnetization is 0.000 Bohr magnetons per cell. Its volume is 215.7 Å³/cell.

The space group is P-1 (No. 2) and the conventional cell measures 6.062, 6.279 and 6.814 Å, with angles of 70.70, 65.95 and 68.84 degrees. The inequivalent atoms are Ca at (0.155, 0.249, 0.239), Cu at (0.000, 0.000, 0.000), Si at (0.500, 0.500, 0.500), Au at (0.214, 0.724, 0.283), Au at (0.326, 0.158, 0.650) and Au at (0.337, 0.651, 0.845).